No. 1
The following is a PBE calculation of an optimized crystal structure of ErSiHO4, from OQMD.

```
data_ErSiHO4
_space_group_name_H-M_alt 'P n m a'
_space_group_IT_number 62
_cell_length_a 8.8369
_cell_length_b 6.6199
_cell_length_c 4.8541
_cell_angle_alpha 90.00
_cell_angle_beta 90.00
_cell_angle_gamma 90.00
loop_
_space_group_symop_operation_xyz
'x,y,z'
'-x,-y,-z'
'-x+1/2,-y,z+1/2'
'x+1/2,y,-z+1/2'
'x+1/2,-y+1/2,-z+1/2'
'-x+1/2,y+1/2,z+1/2'
'-x,y+1/2,-z'
'x,-y+1/2,z'
loop_
_atom_site_label
_atom_site_type_symbol
_atom_site_fract_x
_atom_site_fract_y
_atom_site_fract_z
Er1 Er 0.2013 0.2500 0.1906
Si1 Si 0.0487 0.7500 0.2125
H1 H 0.0000 0.0000 0.5000
O1 O 0.0770 0.7500 0.8843
O2 O 0.1160 0.5489 0.3768
O3 O 0.1331 0.2500 0.7495
```

Output
- final energy (eV/f.u.) = -51.565
- crystal system = orthorhombic
- spin magnetization (μB/cell) = 0.0
- mass density (g cm⁻³) = 6.09



No. 2
The following is a PBE calculation of an optimized crystal structure of ErSiHO4, from OQMD.

```
data_ErSiHO4
_space_group_name_H-M_alt 'P 1 21/c 1'
_space_group_IT_number 14
_cell_length_a 7.0311
_cell_length_b 6.2155
_cell_length_c 6.8083
_cell_angle_alpha 90.00
_cell_angle_beta 97.51
_cell_angle_gamma 90.00
loop_
_space_group_symop_operation_xyz
'x,y,z'
'-x,-y,-z'
'-x,y+1/2,-z+1/2'
'x,-y+1/2,z+1/2'
loop_
_atom_site_label
_atom_site_type_symbol
_atom_site_fract_x
_atom_site_fract_y
_atom_site_fract_z
Er1 Er 0.2234 0.1379 0.4963
Si1 Si 0.2485 0.6225 0.4866
H1 H 0.3987 0.6283 0.8363
O1 O 0.0754 0.7052 0.9803
O2 O 0.2381 0.0563 0.8127
O3 O 0.2831 0.0220 0.1878
O4 O 0.4355 0.7064 0.9704
```

Output
- final energy (eV/f.u.) = -52.188
- crystal system = monoclinic
- spin magnetization (μB/cell) = 0.0
- mass density (g cm⁻³) = 5.86



No. 3
The following is a PBE calculation of an optimized crystal structure of ErSiHO4, from OQMD.

```
data_ErSiHO4
_space_group_name_H-M_alt 'P 1 21/c 1'
_space_group_IT_number 14
_cell_length_a 7.6522
_cell_length_b 6.4552
_cell_length_c 6.7384
_cell_angle_alpha 90.00
_cell_angle_beta 112.81
_cell_angle_gamma 90.00
loop_
_space_group_symop_operation_xyz
'x,y,z'
'-x,-y,-z'
'-x,y+1/2,-z+1/2'
'x,-y+1/2,z+1/2'
loop_
_atom_site_label
_atom_site_type_symbol
_atom_site_fract_x
_atom_site_fract_y
_atom_site_fract_z
Er1 Er 0.2046 0.1396 0.1103
Si1 Si 0.2456 0.6044 0.1349
H1 H 0.4728 0.6929 0.8870
O1 O 0.1036 0.6990 0.5581
O2 O 0.1979 0.0642 0.7853
O3 O 0.2743 0.0378 0.4496
O4 O 0.4652 0.7030 0.2771
```

Output
- final energy (eV/f.u.) = -52.353
- crystal system = monoclinic
- spin magnetization (μB/cell) = 0.0
- mass density (g cm⁻³) = 5.64



No. 4
The following is a PBE calculation of an optimized crystal structure of ErSiHO4, from OQMD.

```
data_ErSiHO4
_space_group_name_H-M_alt 'R 3'
_space_group_IT_number 146
_space_group_name_Hall 'R 3'
_cell_length_a 14.5045
_cell_length_b 14.5045
_cell_length_c 8.1143
_cell_angle_alpha 90.00
_cell_angle_beta 90.00
_cell_angle_gamma 120.00
loop_
_atom_site_label
_atom_site_type_symbol
_atom_site_fract_x
_atom_site_fract_y
_atom_site_fract_z
Er1 Er 0.0156 0.7826 0.0000
Er2 Er 0.1102 0.4352 0.0598
Si1 Si 0.0010 0.7982 0.5829
Si2 Si 0.1355 0.4369 0.6904
H1 H 0.0628 0.5993 0.9997
H2 H 0.1651 0.0543 0.7647
O1 O 0.0020 0.3718 0.2774
O2 O 0.0399 0.7029 0.2221
O3 O 0.0683 0.8325 0.7496
O4 O 0.0778 0.5001 0.7696
O5 O 0.0807 0.8549 0.4193
O6 O 0.1647 0.0637 0.8897
O7 O 0.1816 0.0830 0.5739
O8 O 0.2091 0.4333 0.8419
```

Output
- final energy (eV/f.u.) = -51.889
- crystal system = trigonal
- spin magnetization (μB/cell) = 0.0
- mass density (g cm⁻³) = 5.26



No. 5
The following is a PBE calculation of an optimized crystal structure of ErSiHO4, from OQMD.

```
data_ErSiHO4
_space_group_name_H-M_alt 'P b c a'
_space_group_IT_number 61
_cell_length_a 7.6202
_cell_length_b 8.9175
_cell_length_c 17.2433
_cell_angle_alpha 90.00
_cell_angle_beta 90.00
_cell_angle_gamma 90.00
loop_
_space_group_symop_operation_xyz
'x,y,z'
'-x,-y,-z'
'-x+1/2,-y,z+1/2'
'x+1/2,y,-z+1/2'
'x+1/2,-y+1/2,-z'
'-x+1/2,y+1/2,z'
'-x,y+1/2,-z+1/2'
'x,-y+1/2,z+1/2'
loop_
_atom_site_label
_atom_site_type_symbol
_atom_site_fract_x
_atom_site_fract_y
_atom_site_fract_z
Er1 Er 0.1073 0.1627 0.1245
Er2 Er 0.1390 0.1872 0.8810
Si1 Si 0.0116 0.0188 0.2963
Si2 Si 0.2419 0.5725 0.5046
H1 H 0.0617 0.6350 0.9885
H2 H 0.2104 0.5952 0.2826
O1 O 0.0652 0.0072 0.7915
O2 O 0.0778 0.6382 0.8329
O3 O 0.0785 0.1714 0.5187
O4 O 0.1052 0.6244 0.1473
O5 O 0.1148 0.5858 0.5798
O6 O 0.1679 0.6242 0.4206
O7 O 0.1689 0.1479 0.2743
O8 O 0.2244 0.6072 0.9955
```

Output
- final energy (eV/f.u.) = -52.068
- crystal system = orthorhombic
- spin magnetization (μB/cell) = 0.0
- mass density (g cm⁻³) = 5.90



No. 6
The following is a PBE calculation of an optimized crystal structure of ErSiHO4, from OQMD.

```
data_ErSiHO4
_space_group_name_H-M_alt 'P 1 21/m 1'
_space_group_IT_number 11
_cell_length_a 4.4574
_cell_length_b 6.5998
_cell_length_c 4.8202
_cell_angle_alpha 90.00
_cell_angle_beta 97.08
_cell_angle_gamma 90.00
loop_
_space_group_symop_operation_xyz
'x,y,z'
'-x,-y,-z'
'-x,y+1/2,-z'
'x,-y+1/2,z'
loop_
_atom_site_label
_atom_site_type_symbol
_atom_site_fract_x
_atom_site_fract_y
_atom_site_fract_z
Er1 Er 0.0727 0.2500 0.1970
Si1 Si 0.4285 0.7500 0.3123
H1 H 0.5000 0.0000 0.0000
O1 O 0.2061 0.2500 0.6817
O2 O 0.2848 0.5558 0.1161
O3 O 0.3605 0.7500 0.6306
```

Output
- final energy (eV/f.u.) = -51.858
- crystal system = monoclinic
- spin magnetization (μB/cell) = 0.0
- mass density (g cm⁻³) = 6.14



No. 7
The following is a PBE calculation of an optimized crystal structure of ErSiHO4, from OQMD.

```
data_ErSiHO4
_space_group_name_H-M_alt 'P n m a'
_space_group_IT_number 62
_cell_length_a 12.8447
_cell_length_b 15.5366
_cell_length_c 4.3249
_cell_angle_alpha 90.00
_cell_angle_beta 90.00
_cell_angle_gamma 90.00
loop_
_space_group_symop_operation_xyz
'x,y,z'
'-x,-y,-z'
'-x+1/2,-y,z+1/2'
'x+1/2,y,-z+1/2'
'x+1/2,-y+1/2,-z+1/2'
'-x+1/2,y+1/2,z+1/2'
'-x,y+1/2,-z'
'x,-y+1/2,z'
loop_
_atom_site_label
_atom_site_type_symbol
_atom_site_fract_x
_atom_site_fract_y
_atom_site_fract_z
Er1 Er 0.0662 0.0981 0.1467
Er2 Er 0.1108 0.7500 0.2897
Si1 Si 0.1208 0.2500 0.7221
Si2 Si 0.1591 0.5871 0.7183
H1 H 0.2133 0.2500 0.3199
H2 H 0.2479 0.0866 0.6287
O1 O 0.0509 0.1642 0.6515
O2 O 0.0766 0.5079 0.7800
O3 O 0.0872 0.6680 0.8428
O4 O 0.1330 0.2500 0.0956
O5 O 0.1922 0.6179 0.3760
O6 O 0.2274 0.0708 0.3951
O7 O 0.2342 0.2500 0.5521
```

Output
- final energy (eV/f.u.) = -51.676
- crystal system = orthorhombic
- spin magnetization (μB/cell) = 0.0
- mass density (g cm⁻³) = 6.01



No. 8
The following is a PBE calculation of an optimized crystal structure of ErSiHO4, from OQMD.

```
data_ErSiHO4
_space_group_name_H-M_alt 'P 1 c 1'
_space_group_IT_number 7
_cell_length_a 4.3024
_cell_length_b 4.8046
_cell_length_c 8.5943
_cell_angle_alpha 90.00
_cell_angle_beta 117.66
_cell_angle_gamma 90.00
loop_
_space_group_symop_operation_xyz
'x,y,z'
'x,-y,z+1/2'
loop_
_atom_site_label
_atom_site_type_symbol
_atom_site_fract_x
_atom_site_fract_y
_atom_site_fract_z
Er1 Er 0.0000 0.1045 0.0000
Si1 Si 0.6564 0.4277 0.2372
H1 H 0.2486 0.3376 0.3580
O1 O 0.3224 0.3004 0.2613
O2 O 0.5728 0.2608 0.0548
O3 O 0.6966 0.2392 0.7324
O4 O 0.9936 0.3292 0.4239
```

Output
- final energy (eV/f.u.) = -51.353
- crystal system = monoclinic
- spin magnetization (μB/cell) = 0.0
- mass density (g cm⁻³) = 5.49